[1]
This record from the Alexandria database describes a geometry-optimized Tc2MoSCl structure. The functional is PBE.

POSCAR file:
```
Tc2MoSCl
1.0
4.296 0.000 0.000
0.000 4.646 0.000
0.000 0.000 4.296
S Mo Tc Cl
1 1 2 1
direct
0.000 0.500 0.000 S
0.500 0.500 0.500 Mo
0.000 0.000 0.500 Tc
0.500 0.000 0.000 Tc
0.000 0.000 0.000 Cl
```

## Properties
Uncorrected energy ... -28.77 eV per cell
Magnetization ... 0.000 μB/cell
V ... 17.15 Å³ per atom
ρ ... 6961 kg/m³
Symmetry ... P4/mmm

=====

[2]
This record from the Alexandria database describes a geometry-optimized Li3LaEr2S6 structure. The functional is PBE.

POSCAR file:
```
Li3LaEr2S6
1.0
6.891 -0.008 0.011
-3.451 5.964 0.011
-1.138 -1.970 6.172
Li La Er S
3 1 2 6
direct
0.175 0.825 0.500 Li
0.825 0.175 0.500 Li
0.500 0.500 0.500 Li
0.000 0.000 0.000 La
0.334 0.666 0.000 Er
0.666 0.334 0.000 Er
0.918 0.570 0.750 S
0.734 0.734 0.252 S
0.082 0.430 0.250 S
0.570 0.918 0.750 S
0.266 0.266 0.748 S
0.430 0.082 0.250 S
```

## Properties
Uncorrected energy ... -66.68 eV per cell
Magnetization ... 0.000 μB/cell
V ... 21.15 Å³ per atom
ρ ... 4493 kg/m³
Symmetry ... C2/m

=====

[3]
This record from the Alexandria database describes a geometry-optimized DyErAg structure. The functional is PBE.

POSCAR file:
```
DyErAg
1.0
3.627 0.000 0.000
0.000 5.031 0.000
0.000 -2.516 4.357
Dy Ag Er
1 1 1
direct
0.608 0.667 0.333 Dy
0.324 0.333 0.667 Ag
0.068 0.000 0.000 Er
```

## Properties
Energy of formation ... -0.04 eV/atom
Uncorrected energy ... -12.14 eV per cell
Magnetization ... 0.000 μB/cell
V ... 26.50 Å³ per atom
ρ ... 9141 kg/m³
Symmetry ... P3m1

=====

[4]
This record from the Alexandria database describes a geometry-optimized PmGa2PdPt structure. The functional is PBE.

POSCAR file:
```
PmGa2PdPt
1.0
4.201 0.000 0.000
0.000 3.817 0.000
-2.100 -1.909 6.026
Pm Ga Pd Pt
1 2 1 1
direct
0.435 0.435 0.870 Pm
0.695 0.195 0.390 Ga
0.052 0.052 0.104 Ga
0.186 0.686 0.371 Pd
0.845 0.845 0.690 Pt
```

## Properties
Energy of formation ... -0.81 eV/atom
Uncorrected energy ... -26.06 eV per cell
Magnetization ... 0.000 μB/cell
V ... 19.33 Å³ per atom
ρ ... 10069 kg/m³
Symmetry ... Imm2

=====

[5]
This record from the Alexandria database describes a geometry-optimized MgZr2C2 structure. The functional is PBE.

POSCAR file:
```
MgZr2C2
1.0
-5.295 0.696 3.512
-2.299 -5.467 -2.383
1.399 -1.650 2.436
Mg C Zr
2 4 4
direct
0.000 0.000 0.000 Mg
0.500 0.500 0.000 Mg
0.341 0.841 0.000 C
0.841 0.659 0.000 C
0.659 0.159 0.000 C
0.159 0.341 0.000 C
0.158 0.658 0.500 Zr
0.658 0.842 0.500 Zr
0.842 0.342 0.500 Zr
0.342 0.158 0.500 Zr
```

## Properties
Energy of formation ... -0.19 eV/atom
Uncorrected energy ... -76.14 eV per cell
Magnetization ... 0.000 μB/cell
V ... 13.31 Å³ per atom
ρ ... 5759 kg/m³
Symmetry ... P4/mbm

=====

[6]
This record from the Alexandria database describes a geometry-optimized TiTePb2N structure. The functional is PBE.

POSCAR file:
```
TiTePb2N
1.0
-3.577 -2.342 3.455
3.640 -3.394 1.468
1.597 3.436 3.983
Pb N Te Ti
2 1 1 1
direct
0.000 0.000 0.500 Pb
0.500 0.000 0.000 Pb
0.500 0.500 0.500 N
0.000 0.500 0.000 Te
0.000 0.000 0.000 Ti
```

## Properties
Uncorrected energy ... -21.74 eV per cell
Magnetization ... 2.703 μB/cell
V ... 31.36 Å³ per atom
ρ ... 6396 kg/m³
Symmetry ... P4/mmm

=====

[7]
This record from the Alexandria database describes a geometry-optimized NaHfNiTe3 structure. The functional is PBE.

POSCAR file:
```
NaHfNiTe3
1.0
3.927 0.000 0.000
0.000 8.564 0.147
0.000 -4.033 9.591
Na Hf Ni Te
2 2 2 6
direct
0.250 0.266 0.288 Na
0.750 0.734 0.712 Na
0.250 0.706 0.180 Hf
0.750 0.294 0.820 Hf
0.250 0.091 0.604 Ni
0.750 0.909 0.396 Ni
0.750 0.935 0.157 Te
0.250 0.065 0.843 Te
0.250 0.769 0.467 Te
0.750 0.231 0.533 Te
0.750 0.436 0.132 Te
0.250 0.564 0.868 Te
```

## Properties
Uncorrected energy ... -61.27 eV per cell
Magnetization ... 0.000 μB/cell
V ... 27.07 Å³ per atom
ρ ... 6573 kg/m³
Symmetry ... P2_1/m

=====

[8]
This record from the Alexandria database describes a geometry-optimized ErLuTlCu structure. The functional is PBE.

POSCAR file:
```
ErLuTlCu
1.0
5.098 0.000 0.000
2.549 4.415 0.000
2.549 1.472 4.162
Tl Lu Cu Er
1 1 1 1
direct
0.750 0.750 0.750 Tl
0.500 0.500 0.500 Lu
0.250 0.250 0.250 Cu
0.000 0.000 0.000 Er
```

## Properties
Energy of formation ... -0.25 eV/atom
Uncorrected energy ... -16.54 eV per cell
Magnetization ... 0.000 μB/cell
V ... 23.42 Å³ per atom
ρ ... 10815 kg/m³
Symmetry ... F-43m

=====

[9]
This record from the Alexandria database describes a geometry-optimized SmYCdAg structure. The functional is PBE.

POSCAR file:
```
SmYCdAg
1.0
5.278 0.000 0.000
2.639 4.571 0.000
2.639 1.524 4.309
Y Ag Sm Cd
1 1 1 1
direct
0.750 0.750 0.750 Y
0.500 0.500 0.500 Ag
0.250 0.250 0.250 Sm
0.000 0.000 0.000 Cd
```

## Properties
Energy of formation ... -0.30 eV/atom
Uncorrected energy ... -16.17 eV per cell
Magnetization ... 0.000 μB/cell
V ... 25.99 Å³ per atom
ρ ... 7341 kg/m³
Symmetry ... F-43m

=====

[10]
This record from the Alexandria database describes a geometry-optimized YCuN2 structure. The functional is PBE.

POSCAR file:
```
YCuN2
1.0
-6.075 0.241 0.456
-4.735 3.140 2.210
-5.007 3.174 -1.423
Y Cu N
1 1 2
direct
0.500 0.500 0.500 Y
0.000 0.000 0.000 Cu
0.897 0.897 0.897 N
0.103 0.103 0.103 N
```

## Properties
Uncorrected energy ... -27.83 eV per cell
Magnetization ... 1.869 μB/cell
V ... 16.45 Å³ per atom
ρ ... 4554 kg/m³
Symmetry ... R-3m

=====

[11]
This record from the Alexandria database describes a geometry-optimized La5Nd structure. The functional is PBE.

POSCAR file:
```
La5Nd
1.0
5.252 0.000 0.000
0.000 5.257 0.000
0.000 -2.629 7.884
Nd La
1 5
direct
0.000 0.000 0.000 Nd
0.000 0.666 0.333 La
0.000 0.334 0.667 La
0.500 0.500 0.000 La
0.500 0.167 0.335 La
0.500 0.833 0.665 La
```

## Properties
Energy of formation ... 0.01 eV/atom
Uncorrected energy ... -29.36 eV per cell
Magnetization ... 0.000 μB/cell
V ... 36.28 Å³ per atom
ρ ... 6398 kg/m³
Symmetry ... Cmmm

=====

[12]
This record from the Alexandria database describes a geometry-optimized Sr2EuF structure. The functional is PBE.

POSCAR file:
```
Sr2EuF
1.0
-2.445 2.920 1.290
-3.006 -0.865 2.527
4.273 2.334 9.083
Eu Sr F
1 2 1
direct
0.500 0.500 0.500 Eu
0.723 0.723 0.831 Sr
0.277 0.277 0.169 Sr
0.000 0.000 0.000 F
```

## Properties
Uncorrected energy ... -20.41 eV per cell
Magnetization ... 7.981 μB/cell
V ... 35.16 Å³ per atom
ρ ... 4088 kg/m³
Symmetry ... R-3m